First-principles (PBE) data for a relaxed structure of TmFe12, as listed in Alexandria.

Results
Energy relative to the elements = -0.2 eV per formula unit
Total magnetization = 26.004 μB per formula unit

CIF file:
```
data_TmFe12
_chemical_formula_sum 'Tm2 Fe24'
_cell_length_a 8.406
_cell_length_b 8.406
_cell_length_c 4.677
_cell_angle_alpha 90.00
_cell_angle_beta 90.00
_cell_angle_gamma 90.00
_space_group_name_H-M_alt 'I 4/m m m'
_space_group_IT_number 139
_space_group_name_Hall '-I 4 2'
loop_
_atom_site_label
_atom_site_type_symbol
_atom_site_fract_x
_atom_site_fract_y
_atom_site_fract_z
Tm1 Tm 0.000 0.000 0.000
Fe1 Fe 0.000 0.225 0.500
Fe2 Fe 0.000 0.358 0.000
Fe3 Fe 0.250 0.250 0.250
```